(1)
Here is MgFeS2 after structural relaxation from the Alexandria database. Energies are from PBE-GGA.

Computed properties:
The value obtained for the uncorrected formation energy is -1.720 eV per formula unit.

abc: 3.8136 3.8136 21.1285
angles: 90.00 90.00 120.00
Space group R-3m (No. 166, hexagonal axes)
One atom of each set of equivalent atoms:
Mg (0.0000, 0.0000, 0.0000)
Fe (0.0000, 0.0000, 0.5000)
S (0.0000, 0.0000, 0.3980)

---

(2)
Here is InRe2Mo after structural relaxation from the Alexandria database. Energies are from PBE-GGA.

abc: 2.8564 2.8564 28.1065
angles: 90.00 90.00 120.00
Space group R3m (No. 160, hexagonal axes)
One atom of each set of equivalent atoms:
In (0.0000, 0.0000, 0.0000)
Re (0.0000, 0.0000, 0.4970)
Re (0.0000, 0.0000, 0.7548)
Mo (0.0000, 0.0000, 0.2449)

---

(3)
Here is PuTeAu after structural relaxation from the Alexandria database. Energies are from PBE-GGA.

Computed properties:
The value obtained for the uncorrected formation energy is -1.608 eV per formula unit.

abc: 4.5575 4.5575 4.6084
angles: 90.00 90.00 120.00
Space group P3m1 (No. 156)
One atom of each set of equivalent atoms:
Pu (0.0000, 0.0000, 0.0000)
Te (0.3333, 0.6667, 0.3940)
Au (0.6667, 0.3333, 0.6956)

---

(4)
Here is AlAsP2 after structural relaxation from the Alexandria database. Energies are from PBE-GGA.

Computed properties:
The excess energy over the best structure of this formula in the dataset is 0.4805 eV per atom.

abc: 6.359 6.359 6.359
angles: 90.00 90.00 90.00
Space group Fm-3m (No. 225)
One atom of each set of equivalent atoms:
Al (0.000, 0.000, 0.000)
As (0.000, 0.000, 0.500)
P (0.250, 0.250, 0.250)

---

(5)
Here is Ac6Ni2PbBr3 after structural relaxation from the Alexandria database. Energies are from PBE-GGA.

Computed properties:
The value obtained for the uncorrected formation energy is -9.979 eV per formula unit.

abc: 20.256 4.491 9.666
angles: 90.00 106.06 90.00
Space group C2/m (No. 12)
One atom of each set of equivalent atoms:
Ac (0.023, 0.000, 0.257)
Ac (0.171, 0.500, 0.131)
Ac (0.179, 0.500, 0.552)
Ni (0.173, 0.000, 0.340)
Pb (0.000, 0.500, 0.000)
Br (0.000, 0.500, 0.500)
Br (0.154, 0.000, 0.826)

---

(6)
Here is PmTm5Te4 after structural relaxation from the Alexandria database. Energies are from PBE-GGA.

Computed properties:
The value obtained for the uncorrected formation energy is -8.436 eV per formula unit.

abc: 18.226 4.129 8.513
angles: 90.00 103.76 90.00
Space group C2/m (No. 12)
One atom of each set of equivalent atoms:
Pm (0.000, 0.000, 0.000)
Tm (0.000, 0.000, 0.500)
Tm (0.159, 0.500, 0.777)
Tm (0.193, 0.500, 0.357)
Te (0.017, 0.500, 0.268)
Te (0.172, 0.000, 0.063)

---

(7)
Here is Hf2GeHRh after structural relaxation from the Alexandria database. Energies are from PBE-GGA.

abc: 4.368 4.368 3.843
angles: 90.00 90.00 90.00
Space group P4/mmm (No. 123)
One atom of each set of equivalent atoms:
Hf (0.000, 0.500, 0.000)
Ge (0.000, 0.000, 0.500)
H (0.500, 0.500, 0.000)
Rh (0.500, 0.500, 0.500)

---

(8)
Here is MnTl4Hg after structural relaxation from the Alexandria database. Energies are from PBE-GGA.

abc: 8.990 8.990 8.990
angles: 90.00 90.00 90.00
Space group F-43m (No. 216)
One atom of each set of equivalent atoms:
Mn (0.000, 0.000, 0.000)
Tl (0.125, 0.125, 0.625)
Hg (0.250, 0.250, 0.250)

---

Calculated total energy (eV per atom), listed in the same order as above: -5.008; -9.297; -7.453; -4.404; -4.577; -4.811; -7.557; -2.674